Here is a relaxed structure of AcMn2SnO6 from the Alexandria database. Energies are from PBE+U.

POSCAR file:
```
AcMn2SnO6
1.0
5.463 0.000 0.000
2.623 4.895 0.000
0.042 3.107 5.018
Ac Mn Sn O
1 2 1 6
Cartesian
0.000 0.000 0.000 Ac
2.744 4.782 3.942 Mn
5.428 3.258 1.679 Mn
2.758 1.571 2.069 Sn
1.606 2.779 0.672 O
3.580 6.502 3.062 O
4.994 5.056 0.544 O
3.828 3.194 2.947 O
4.294 2.058 0.656 O
6.320 4.698 2.871 O
```

Output
* E_tot: -7.3293 eV/atom
* volume: 13.4 Å³/atom